1.
# Er2TeI (GGA-PBE, relaxed)
data_Er2TeI
_cell_length_a 3.9376
_cell_length_b 3.9376
_cell_length_c 8.8206
_cell_angle_alpha 77.10
_cell_angle_beta 77.10
_cell_angle_gamma 60.00
_symmetry_space_group_name_H-M 'P 1'
_symmetry_Int_Tables_number 1
_symmetry_space_group_name_Hall 'P 1'
loop_
_atom_site_label
_atom_site_type_symbol
_atom_site_fract_x
_atom_site_fract_y
_atom_site_fract_z
_atom_site_occupancy
Te1 Te 0.6668 0.6668 0.9995 1
Er1 Er 0.2543 0.2543 0.2372 1
Er2 Er 0.0795 0.0795 0.7614 1
I1 I 0.4994 0.4994 0.5019 1
# Formation energy without anion corrections (eV per atom): -0.8841
# Spin magnetization (Bohr magnetons per cell): 0.0
# ρ (g/cm³): 8.5
# Relative energy among the computed polymorphs (meV/atom): 0.0

2.
# AgSnB (GGA-PBE, relaxed)
data_AgSnB
_cell_length_a 3.1405
_cell_length_b 6.6300
_cell_length_c 5.7166
_cell_angle_alpha 92.16
_cell_angle_beta 83.82
_cell_angle_gamma 110.09
_symmetry_space_group_name_H-M 'P 1'
_symmetry_Int_Tables_number 1
_symmetry_space_group_name_Hall 'P 1'
loop_
_atom_site_label
_atom_site_type_symbol
_atom_site_fract_x
_atom_site_fract_y
_atom_site_fract_z
_atom_site_occupancy
B1 B 0.5073 0.0827 0.6529 1
Ag1 Ag 0.4085 0.7339 0.8188 1
Sn1 Sn 0.8804 0.7792 0.2866 1
Sn2 Sn 0.6133 0.3453 0.9735 1
Ag2 Ag 0.0854 0.3907 0.4414 1
B2 B 0.9864 0.0419 0.6071 1
# Spin magnetization (Bohr magnetons per cell): 0.0
# ρ (g/cm³): 7.1
# ΔH_f (0 K) (eV per atom): 0.307

3.
# Hf2FeSi (GGA-PBE, relaxed)
data_Hf2FeSi
_cell_length_a 4.7968
_cell_length_b 3.9634
_cell_length_c 14.5638
_cell_angle_alpha 90.00
_cell_angle_beta 103.31
_cell_angle_gamma 90.00
_symmetry_space_group_name_H-M 'P 1'
_symmetry_Int_Tables_number 1
_symmetry_space_group_name_Hall 'P 1'
loop_
_atom_site_label
_atom_site_type_symbol
_atom_site_fract_x
_atom_site_fract_y
_atom_site_fract_z
_atom_site_occupancy
Si1 Si 0.9247 0.5000 0.8651 1
Si2 Si 0.9247 0.0000 0.3651 1
Hf1 Hf 0.0000 0.0000 0.0000 1
Fe1 Fe 0.8852 0.5000 0.2780 1
Si3 Si 0.0753 0.0000 0.6349 1
Fe2 Fe 0.1148 0.5000 0.7220 1
Hf2 Hf 0.5000 0.5000 0.0000 1
Hf3 Hf 0.5000 0.0000 0.5000 1
Si4 Si 0.0753 0.5000 0.1349 1
Hf4 Hf 0.5691 0.0000 0.1729 1
Fe3 Fe 0.8852 0.0000 0.7780 1
Hf5 Hf 0.5691 0.5000 0.6729 1
Fe4 Fe 0.1148 0.0000 0.2220 1
Hf6 Hf 0.4309 0.0000 0.8271 1
Hf7 Hf 0.4309 0.5000 0.3271 1
Hf8 Hf 0.0000 0.5000 0.5000 1
# Formation energy without anion corrections (eV per atom): -0.3655
# Spin magnetization (Bohr magnetons per cell): 0.0
# ρ (g/cm³): 10.9